LiTcMo2: relaxed, GGA-PBE.

```
LiTcMo2
1.0
-3.519 3.519 2.629
3.519 -3.519 2.629
3.519 3.519 -2.629
Li Tc Mo
2 2 4
Direct
0.000 0.000 0.000
0.750 0.250 0.500
0.250 0.750 0.500
0.500 0.500 0.000
0.151 0.625 0.026
0.375 0.401 0.526
0.599 0.125 0.974
0.875 0.849 0.474
```

Results
The calculation puts the formation energy at 0.774 eV/atom. Its energy above the lowest structure with this stoichiometry is 0.5611 eV/atom. The space group is I-42d, No. 122.

---

LiTcMo2: relaxed, GGA-PBE.

```
LiTcMo2
1.0
2.663 -4.150 0.000
2.663 4.150 0.000
0.000 0.000 2.688
Li Tc Mo
1 1 2
Direct
0.000 0.000 0.000
0.500 0.500 0.000
0.000 0.500 0.500
0.500 0.000 0.500
```

Results
The calculation puts the formation energy at 0.367 eV/atom. Its energy above the lowest structure with this stoichiometry is 0.1535 eV/atom. The space group is Cmmm, No. 65.

---

LiTc2Mo: relaxed, GGA-PBE.

```
LiTc2Mo
1.0
1.525 -2.176 0.000
1.525 2.176 0.000
0.000 0.000 9.041
Li Tc Mo
1 2 1
Direct
0.000 0.000 0.000
0.500 0.500 0.255
0.500 0.500 0.745
0.000 0.000 0.500
```

Results
The calculation puts the formation energy at 0.194 eV/atom. Its energy above the lowest structure with this stoichiometry is 0.0145 eV/atom. The space group is Cmmm, No. 65.

---

LiTcMo2: relaxed, GGA-PBE.

```
LiTcMo2
1.0
2.626 0.000 0.000
0.000 4.385 0.000
-0.878 0.000 5.143
Li Tc Mo
1 1 2
Direct
0.000 0.000 0.000
0.250 0.500 0.755
0.471 0.000 0.509
0.722 0.500 0.243
```

Results
The calculation puts the formation energy at 0.218 eV/atom. Its energy above the lowest structure with this stoichiometry is 0.0049 eV/atom. The space group is Pm, No. 6.

---

LiTc2Mo: relaxed, GGA-PBE.

```
LiTc2Mo
1.0
4.446 -1.318 0.000
4.446 1.318 0.000
-0.245 0.000 4.955
Li Tc Mo
1 2 1
Direct
0.000 0.000 0.000
0.252 0.252 0.756
0.502 0.502 0.506
0.749 0.749 0.243
```

Results
The calculation puts the formation energy at 0.336 eV/atom. Its energy above the lowest structure with this stoichiometry is 0.1565 eV/atom. The space group is Cm, No. 8.

---

LiTcMo3: relaxed, GGA-PBE.

```
LiTcMo3
1.0
4.195 0.000 0.000
0.000 4.195 0.000
0.000 0.000 4.195
Li Tc Mo
1 1 3
Direct
0.000 0.000 0.000
0.500 0.500 0.500
0.000 0.000 0.500
0.000 0.500 0.000
0.500 0.000 0.000
```

Results
The calculation puts the formation energy at 1.286 eV/atom. Its energy above the lowest structure with this stoichiometry is 0.0000 eV/atom. The space group is Pm-3m, No. 221.

---

The highest energy above the lowest structure with this stoichiometry belongs to which entry?
number 1

---

Look up the energy above the lowest structure with this stoichiometry of the sixth one.
0.0000 eV/atom